An optimized crystal structure of K2BaY, computed with PBE.

Lattice parameters (Å, degrees): 8.072 8.072 8.072 140.07 140.07 57.75
Element x y z (fractional)
Ba: 0.750 0.250 0.500
K: 0.000 0.000 0.000
K: 0.500 0.500 0.000
Y: 0.250 0.750 0.500

ρ = 2.35 Mg/m³
Formation energy = 443 meV/atom
Energy above the most stable polymorph in this dataset = 0.180 eV/atom